Entry 1:
Here is a relaxed Pu2Zn3Au2 crystal from Alexandria via LeMat-Bulk. Energies are from GGA-PBE.

Its excess energy over the best structure of this formula in the dataset is 126 meV per atom. The energy is -5.65 eV/atom. The formation energy is -0.0719 eV/atom. The density of states at the Fermi level is 8.59 states/eV/cell.

Cell: 3.498 6.378 7.298 Å, 123.61 90.00 105.92°
Fractional positions:
Pu1 0.811 0.621 0.121
Pu2 0.189 0.379 0.879
Zn1 0.435 0.870 0.578
Zn2 0.500 0.000 0.000
Zn3 0.565 0.130 0.422
Au1 0.172 0.345 0.298
Au2 0.828 0.655 0.702

***

Entry 2:
Here is a relaxed PuZn6Au4 crystal from Alexandria via LeMat-Bulk. Energies are from GGA-PBE.

Its excess energy over the best structure of this formula in the dataset is 0 meV per atom. The energy is -3.45 eV/atom. The formation energy is -0.2560 eV/atom. The density of states at the Fermi level is 18.61 states/eV/cell.

Cell: 4.141 7.516 7.516 Å, 120.00 90.00 90.00°
Fractional positions:
Pu1 0.000 0.000 0.000
Au1 0.500 0.805 0.195
Au2 0.000 0.333 0.667
Au3 0.500 0.389 0.195
Au4 0.500 0.805 0.611
Zn1 0.500 0.204 0.796
Zn2 0.000 0.537 0.074
Zn3 0.500 0.204 0.408
Zn4 0.000 0.537 0.463
Zn5 0.000 0.926 0.463
Zn6 0.500 0.592 0.796

***

Entry 3:
Here is a relaxed PuZn3Au3 crystal from Alexandria via LeMat-Bulk. Energies are from GGA-PBE.

Its excess energy over the best structure of this formula in the dataset is 393 meV per atom. The energy is -3.90 eV/atom. The formation energy is 0.0999 eV/atom. The density of states at the Fermi level is 43.16 states/eV/cell.

Cell: 7.045 7.045 7.045 Å, 90.00 90.00 90.00°
Fractional positions:
Au1 0.500 0.750 0.000
Au2 0.000 0.500 0.250
Au3 0.000 0.500 0.750
Au4 0.750 0.000 0.500
Au5 0.250 0.000 0.500
Au6 0.500 0.250 0.000
Pu1 0.000 0.000 0.000
Pu2 0.500 0.500 0.500
Zn1 0.500 0.000 0.250
Zn2 0.500 0.000 0.750
Zn3 0.000 0.250 0.500
Zn4 0.750 0.500 0.000
Zn5 0.250 0.500 0.000
Zn6 0.000 0.750 0.500